# 1
# BaSbTe3Au | the Alexandria database | PBE | relaxed
data_BaSbTe3Au
_chemical_formula_sum 'Ba2 Sb2 Te6 Au2'
_cell_length_a 4.539
_cell_length_b 9.285
_cell_length_c 9.998
_cell_angle_alpha 102.37
_cell_angle_beta 90.00
_cell_angle_gamma 90.00
_symmetry_space_group_name_H-M 'P 1'
_symmetry_Int_Tables_number 1
_symmetry_space_group_name_Hall 'P 1'
loop_
_atom_site_label
_atom_site_type_symbol
_atom_site_fract_x
_atom_site_fract_y
_atom_site_fract_z
Te1 Te 0.250 0.117 0.880
Te2 Te 0.750 0.438 0.165
Te3 Te 0.750 0.248 0.535
Te4 Te 0.250 0.752 0.465
Te5 Te 0.750 0.883 0.120
Te6 Te 0.250 0.562 0.835
Ba1 Ba 0.750 0.826 0.739
Ba2 Ba 0.250 0.174 0.261
Au1 Au 0.250 0.070 0.583
Au2 Au 0.750 0.930 0.417
Sb1 Sb 0.750 0.337 0.857
Sb2 Sb 0.250 0.663 0.143
# **VASP energy**: -3.7529 eV per atom



# 2
# Pr4Ho11Er9 | the Alexandria database | PBE | relaxed
data_Pr4Ho11Er9
_chemical_formula_sum 'Pr4 Ho11 Er9'
_cell_length_a 3.678
_cell_length_b 15.017
_cell_length_c 15.017
_cell_angle_alpha 112.75
_cell_angle_beta 90.00
_cell_angle_gamma 90.00
_symmetry_space_group_name_H-M 'P 1'
_symmetry_Int_Tables_number 1
_symmetry_space_group_name_Hall 'P 1'
loop_
_atom_site_label
_atom_site_type_symbol
_atom_site_fract_x
_atom_site_fract_y
_atom_site_fract_z
Er1 Er 0.500 0.935 0.789
Er2 Er 0.500 0.634 0.162
Er3 Er 0.500 0.162 0.634
Er4 Er 0.500 0.211 0.065
Er5 Er 0.500 0.789 0.935
Er6 Er 0.500 0.065 0.211
Er7 Er 0.500 0.838 0.366
Er8 Er 0.500 0.500 0.500
Er9 Er 0.500 0.366 0.838
Ho1 Ho 0.000 0.407 0.044
Ho2 Ho 0.000 0.044 0.407
Ho3 Ho 0.000 0.715 0.715
Ho4 Ho 0.000 0.840 0.160
Ho5 Ho 0.000 0.636 0.364
Ho6 Ho 0.000 0.285 0.285
Ho7 Ho 0.000 0.000 0.000
Ho8 Ho 0.000 0.956 0.593
Ho9 Ho 0.000 0.364 0.636
Ho10 Ho 0.000 0.160 0.840
Ho11 Ho 0.000 0.593 0.956
Pr1 Pr 0.500 0.554 0.755
Pr2 Pr 0.500 0.755 0.554
Pr3 Pr 0.500 0.245 0.446
Pr4 Pr 0.500 0.446 0.245
# **Formation enthalpy at 0 K**: 1.5 kcal/mol of atoms



# 3
# AlPbW2 | the Alexandria database | PBE | relaxed
data_AlPbW2
_chemical_formula_sum 'Al1 Pb1 W2'
_cell_length_a 2.917
_cell_length_b 4.047
_cell_length_c 6.497
_cell_angle_alpha 90.00
_cell_angle_beta 90.00
_cell_angle_gamma 90.00
_symmetry_space_group_name_H-M 'P 1'
_symmetry_Int_Tables_number 1
_symmetry_space_group_name_Hall 'P 1'
loop_
_atom_site_label
_atom_site_type_symbol
_atom_site_fract_x
_atom_site_fract_y
_atom_site_fract_z
Al1 Al 0.500 0.500 0.250
W1 W 0.000 0.000 0.438
W2 W 0.000 0.000 0.062
Pb1 Pb 0.500 0.500 0.750
# **Formation enthalpy at 0 K**: 15.9 kcal/mol of atoms
# **Polymorph energy (0 for the lowest one)**: 306.6 meV per atom



# 4
# TiCr2Re | the Alexandria database | PBE | relaxed
data_TiCr2Re
_chemical_formula_sum 'Ti1 Cr2 Re1'
_cell_length_a 2.991
_cell_length_b 4.236
_cell_length_c 4.236
_cell_angle_alpha 90.00
_cell_angle_beta 90.00
_cell_angle_gamma 90.00
_symmetry_space_group_name_H-M 'P 1'
_symmetry_Int_Tables_number 1
_symmetry_space_group_name_Hall 'P 1'
loop_
_atom_site_label
_atom_site_type_symbol
_atom_site_fract_x
_atom_site_fract_y
_atom_site_fract_z
Ti1 Ti 0.500 0.500 0.500
Cr1 Cr 0.000 0.000 0.500
Cr2 Cr 0.000 0.500 0.000
Re1 Re 0.500 0.000 0.000
# **Formation enthalpy at 0 K**: -3.4 kcal/mol of atoms
# **Polymorph energy (0 for the lowest one)**: 33.4 meV per atom



no.,N(E_F) (states/eV/f.u.)
1,0.35
2,29.81
3,2.96
4,2.14